BeCr2PdC | PBE-GGA | optimized geometry

uncorrected energy = -5.420 eV per atom
size of the total moment = 7.2 μB/cell
formation enthalpy at 0 K = 2.058 eV per atom
DOS(E_F) = 7.00 states/eV/cell

Cell: 4.819 4.819 4.060 Å, 90.00 90.00 90.00°
Space group P4/mmm (No. 123)
Unique sites:
Be  0.000  0.000  0.000 [1 per cell]
Cr  0.000  0.500  0.500 [2 per cell]
Pd  0.000  0.000  0.500 [1 per cell]
C  0.500  0.500  0.000 [1 per cell]

=====

Cd2TcRuC | PBE-GGA | optimized geometry

uncorrected energy = -3.782 eV per atom
size of the total moment = 2.9 μB/cell
formation enthalpy at 0 K = 2.358 eV per atom
DOS(E_F) = 5.56 states/eV/cell

Cell: 5.292 5.292 4.492 Å, 90.00 90.00 90.00°
Space group P4/mmm (No. 123)
Unique sites:
Cd  0.000  0.500  0.000 [2 per cell]
Tc  0.000  0.000  0.000 [1 per cell]
Ru  0.000  0.000  0.500 [1 per cell]
C  0.500  0.500  0.500 [1 per cell]

=====

Mg2BeAg2 | PBE-GGA | optimized geometry

uncorrected energy = -2.473 eV per atom
size of the total moment = 0.0 μB/cell
formation enthalpy at 0 K = 0.050 eV per atom
DOS(E_F) = 3.01 states/eV/cell

Cell: 6.310 6.310 4.480 Å, 90.00 90.00 90.00°
Space group P4/mbm (No. 127)
Unique sites:
Mg  0.168  0.332  0.000 [4 per cell]
Be  0.000  0.000  0.500 [2 per cell]
Ag  0.156  0.656  0.500 [4 per cell]

=====

SiTcPt3 | PBE-GGA | optimized geometry

uncorrected energy = -5.455 eV per atom
size of the total moment = 0.0 μB/cell
uncorrected formation energy = 1327 meV/atom
DOS(E_F) = 4.46 states/eV/cell
energy above the most stable polymorph in this dataset = 0.778 eV/atom

Cell: 4.796 4.796 4.796 Å, 90.00 90.00 90.00°
Space group Pm-3m (No. 221)
Unique sites:
Si  0.000  0.000  0.000 [1 per cell]
Tc  0.500  0.500  0.500 [1 per cell]
Pt  0.000  0.500  0.500 [3 per cell]

=====

PS2BrO | PBE-GGA | optimized geometry

uncorrected energy = -3.140 eV per atom
size of the total moment = 0.3 μB/cell
uncorrected formation energy = 919 meV/atom
DOS(E_F) = 3.81 states/eV/cell
energy above the most stable polymorph in this dataset = 0.000 eV/atom

Cell: 3.890 3.890 7.544 Å, 90.00 90.00 90.00°
Space group P4/mmm (No. 123)
Unique sites:
P  0.000  0.000  0.000 [1 per cell]
S  0.000  0.500  0.500 [2 per cell]
Br  0.500  0.500  0.000 [1 per cell]
O  0.000  0.000  0.500 [1 per cell]

=====

Mn2CuTc | PBE-GGA | optimized geometry

uncorrected energy = -7.986 eV per atom
size of the total moment = 8.3 μB/cell
formation enthalpy at 0 K = 0.214 eV per atom
DOS(E_F) = 8.83 states/eV/cell

Cell: 5.363 6.948 2.761 Å, 90.00 90.00 90.00°
Space group Cmmm (No. 65)
Unique sites:
Mn  0.250  0.250  0.000 [4 per cell]
Cu  0.000  0.000  0.500 [2 per cell]
Tc  0.000  0.500  0.500 [2 per cell]

=====

CrRhC3 | PBE-GGA | optimized geometry

uncorrected energy = -6.299 eV per atom
size of the total moment = 0.1 μB/cell
formation enthalpy at 0 K = 2.630 eV per atom
DOS(E_F) = 9.77 states/eV/cell
energy above the most stable polymorph in this dataset = 0.717 eV/atom

Cell: 3.918 3.918 3.918 Å, 90.00 90.00 90.00°
Space group Pm-3m (No. 221)
Unique sites:
Cr  0.000  0.000  0.000 [1 per cell]
Rh  0.500  0.500  0.500 [1 per cell]
C  0.000  0.500  0.500 [3 per cell]

=====

CeDy5Y2 | PBE-GGA | optimized geometry

uncorrected energy = -5.190 eV per atom
size of the total moment = 2.0 μB/cell
formation enthalpy at 0 K = 0.044 eV per atom
DOS(E_F) = 25.13 states/eV/cell

Cell: 7.101 14.206 5.017 Å, 90.00 90.00 90.00°
Space group Pbam (No. 55)
Unique sites:
Ce  0.000  0.000  0.000 [2 per cell]
Dy  0.000  0.250  0.000 [4 per cell]
Dy  0.000  0.500  0.000 [2 per cell]
Dy  0.247  0.124  0.500 [4 per cell]
Y  0.246  0.876  0.500 [4 per cell]

=====

ZrTiZnMo | PBE-GGA | optimized geometry

uncorrected energy = -7.233 eV per atom
size of the total moment = 0.0 μB/cell
formation enthalpy at 0 K = -0.096 eV per atom
DOS(E_F) = 19.39 states/eV/cell

Cell: 6.525 6.525 6.525 Å, 90.00 90.00 90.00°
Space group F-43m (No. 216)
Unique sites:
Zr  0.000  0.000  0.000 [4 per cell]
Ti  0.000  0.000  0.500 [4 per cell]
Zn  0.250  0.250  0.750 [4 per cell]
Mo  0.250  0.250  0.250 [4 per cell]

=====

La2PmHo3 | PBE-GGA | optimized geometry

uncorrected energy = -4.629 eV per atom
size of the total moment = 0.0 μB/cell
formation enthalpy at 0 K = 0.094 eV per atom
DOS(E_F) = 19.83 states/eV/cell
energy above the most stable polymorph in this dataset = 0.000 eV/atom

Cell: 5.601 8.937 9.426 Å, 68.58 72.76 71.78°
Space group P-1 (No. 2)
Unique sites:
La  0.015  0.336  0.131 [2 per cell]
La  0.278  0.080  0.863 [2 per cell]
Pm  0.363  0.623  0.151 [2 per cell]
Ho  0.110  0.929  0.352 [2 per cell]
Ho  0.202  0.515  0.581 [2 per cell]
Ho  0.446  0.203  0.404 [2 per cell]